Computed, not measured: a geometry-optimized CaBe2Cr structure at the GGA-PBE level of DFT.

Computed properties:
- offset from the most stable computed form (meV per atom) = 7.6
- energy of formation from the pure elements (eV/atom) = 0.301
- spin magnetization (μB/f.u.) = 2.32

POSCAR file:
```
CaBe2Cr
1.0
3.068 0.000 0.000
0.000 3.068 0.000
0.000 0.000 6.314
Ca Be Cr
1 2 1
Direct
0.000 0.000 0.000
0.500 0.500 0.330
0.500 0.500 0.670
0.000 0.000 0.500
```

Computed, not measured: a geometry-optimized CaBeCr structure at the GGA-PBE level of DFT.

Computed properties:
- offset from the most stable computed form (meV per atom) = 0.0
- energy of formation from the pure elements (eV/atom) = 0.499
- spin magnetization (μB/f.u.) = 2.87

POSCAR file:
```
CaBeCr
1.0
3.207 0.000 0.000
0.000 3.207 0.000
0.000 0.000 10.508
Ca Be Cr
2 2 2
Direct
0.000 0.000 0.000
0.500 0.500 0.500
0.000 0.000 0.711
0.500 0.500 0.211
0.000 0.000 0.283
0.500 0.500 0.783
```

Computed, not measured: a geometry-optimized CaBeCr structure at the GGA-PBE level of DFT.

Computed properties:
- offset from the most stable computed form (meV per atom) = 903.9
- energy of formation from the pure elements (eV/atom) = 1.403
- spin magnetization (μB/f.u.) = 4.42

POSCAR file:
```
CaBeCr
1.0
6.728 0.000 0.000
0.000 6.728 0.000
0.000 0.000 6.728
Ca Be Cr
4 4 4
Direct
0.000 0.000 0.000
0.000 0.500 0.500
0.500 0.000 0.500
0.500 0.500 0.000
0.250 0.250 0.250
0.250 0.750 0.750
0.750 0.250 0.750
0.750 0.750 0.250
0.250 0.250 0.750
0.250 0.750 0.250
0.750 0.250 0.250
0.750 0.750 0.750
```

Computed, not measured: a geometry-optimized CaBe2Cr structure at the GGA-PBE level of DFT.

Computed properties:
- offset from the most stable computed form (meV per atom) = 0.0
- energy of formation from the pure elements (eV/atom) = 0.294
- spin magnetization (μB/f.u.) = 3.17

POSCAR file:
```
CaBe2Cr
1.0
4.000 0.000 0.000
-2.000 3.464 0.000
0.000 0.000 15.242
Ca Be Cr
3 6 3
Direct
0.000 0.000 0.000
0.333 0.667 0.667
0.667 0.333 0.333
0.000 0.000 0.186
0.000 0.000 0.814
0.333 0.667 0.481
0.333 0.667 0.852
0.667 0.333 0.148
0.667 0.333 0.519
0.000 0.000 0.500
0.333 0.667 0.167
0.667 0.333 0.833
```

Computed, not measured: a geometry-optimized CaBe2Cr structure at the GGA-PBE level of DFT.

Computed properties:
- offset from the most stable computed form (meV per atom) = 296.4
- energy of formation from the pure elements (eV/atom) = 0.590
- spin magnetization (μB/f.u.) = 3.45

POSCAR file:
```
CaBe2Cr
1.0
3.053 0.000 0.000
0.000 4.698 0.000
0.000 0.000 8.752
Ca Be Cr
2 4 2
Direct
0.000 0.000 0.000
0.500 0.500 0.500
0.000 0.000 0.540
0.000 0.500 0.216
0.500 0.000 0.716
0.500 0.500 0.040
0.000 0.500 0.806
0.500 0.000 0.306
```

Computed, not measured: a geometry-optimized Ca3BeCr structure at the GGA-PBE level of DFT.

Computed properties:
- offset from the most stable computed form (meV per atom) = 0.0
- energy of formation from the pure elements (eV/atom) = 0.654
- spin magnetization (μB/f.u.) = 4.39

POSCAR file:
```
Ca3BeCr
1.0
5.492 0.000 0.000
0.000 5.492 0.000
0.000 0.000 5.492
Ca Be Cr
3 1 1
Direct
0.000 0.000 0.500
0.000 0.500 0.000
0.500 0.000 0.000
0.000 0.000 0.000
0.500 0.500 0.500
```

Computed, not measured: a geometry-optimized CaBe2Cr structure at the GGA-PBE level of DFT.

Computed properties:
- offset from the most stable computed form (meV per atom) = 3.8
- energy of formation from the pure elements (eV/atom) = 0.298
- spin magnetization (μB/f.u.) = 2.69

POSCAR file:
```
CaBe2Cr
1.0
3.844 0.000 0.000
-1.922 3.329 0.000
0.000 0.000 15.967
Ca Be Cr
3 6 3
Direct
0.000 0.000 0.000
0.333 0.667 0.667
0.667 0.333 0.333
0.000 0.000 0.479
0.000 0.000 0.808
0.333 0.667 0.145
0.333 0.667 0.475
0.667 0.333 0.141
0.667 0.333 0.812
0.000 0.000 0.189
0.333 0.667 0.856
0.667 0.333 0.523
```

Computed, not measured: a geometry-optimized CaBeCr structure at the GGA-PBE level of DFT.

Computed properties:
- offset from the most stable computed form (meV per atom) = 566.7
- energy of formation from the pure elements (eV/atom) = 1.066
- spin magnetization (μB/f.u.) = 0.00

POSCAR file:
```
CaBeCr
1.0
2.833 0.000 0.000
-1.416 2.453 0.000
0.000 0.000 6.847
Ca Be Cr
1 1 1
Direct
0.000 0.000 0.000
0.333 0.667 0.629
0.667 0.333 0.368
```

Computed, not measured: a geometry-optimized CaBe3Cr structure at the GGA-PBE level of DFT.

Computed properties:
- energy of formation from the pure elements (eV/atom) = 0.748
- spin magnetization (μB/f.u.) = 0.00

POSCAR file:
```
CaBe3Cr
1.0
4.304 0.000 0.000
0.000 4.304 0.000
0.000 0.000 4.304
Ca Be Cr
1 3 1
Direct
0.000 0.000 0.000
0.000 0.500 0.500
0.500 0.000 0.500
0.500 0.500 0.000
0.500 0.500 0.500
```

Computed, not measured: a geometry-optimized CaBeCr structure at the GGA-PBE level of DFT.

Computed properties:
- offset from the most stable computed form (meV per atom) = 122.9
- energy of formation from the pure elements (eV/atom) = 0.622
- spin magnetization (μB/f.u.) = 3.70

POSCAR file:
```
CaBeCr
1.0
4.083 0.000 0.000
-2.042 3.536 0.000
0.000 0.000 4.317
Ca Be Cr
1 1 1
Direct
0.000 0.000 0.000
0.333 0.667 0.500
0.667 0.333 0.500
```

Computed, not measured: a geometry-optimized CaBe2Cr structure at the GGA-PBE level of DFT.

Computed properties:
- offset from the most stable computed form (meV per atom) = 588.5
- energy of formation from the pure elements (eV/atom) = 0.882
- spin magnetization (μB/f.u.) = 0.00

POSCAR file:
```
CaBe2Cr
1.0
2.718 0.000 0.000
-1.359 2.354 0.000
0.000 0.000 26.192
Ca Be Cr
3 6 3
Direct
0.000 0.000 0.000
0.333 0.667 0.667
0.667 0.333 0.333
0.000 0.000 0.237
0.000 0.000 0.763
0.333 0.667 0.429
0.333 0.667 0.904
0.667 0.333 0.096
0.667 0.333 0.571
0.000 0.000 0.500
0.333 0.667 0.167
0.667 0.333 0.833
```

Computed, not measured: a geometry-optimized Ca2BeCrCu structure at the GGA-PBE level of DFT.

Computed properties:
- energy of formation from the pure elements (eV/atom) = 0.764
- spin magnetization (μB/f.u.) = 4.74

POSCAR file:
```
Ca2BeCrCu
1.0
5.349 0.000 0.000
0.000 5.349 0.000
0.000 0.000 4.751
Ca Be Cr Cu
2 1 1 1
Direct
0.000 0.500 0.000
0.500 0.000 0.000
0.000 0.000 0.500
0.500 0.500 0.500
0.500 0.500 0.000
```

Computed, not measured: a geometry-optimized CaBeCr2Hg structure at the GGA-PBE level of DFT.

Computed properties:
- energy of formation from the pure elements (eV/atom) = 2.503
- spin magnetization (μB/f.u.) = 0.20

POSCAR file:
```
CaBeCr2Hg
1.0
4.365 0.000 0.000
0.000 4.365 0.000
0.000 0.000 5.292
Ca Be Cr Hg
1 1 2 1
Direct
0.000 0.000 0.000
0.500 0.500 0.500
0.000 0.500 0.000
0.500 0.000 0.000
0.000 0.000 0.500
```

Computed, not measured: a geometry-optimized Ca2BeCrN4 structure at the GGA-PBE level of DFT.

Computed properties:
- formation energy from raw total energies (eV per atom) = -0.865
- spin magnetization (μB/f.u.) = 0.00

POSCAR file:
```
Ca2BeCrN4
1.0
5.371 0.000 0.000
0.000 6.401 0.000
0.000 0.000 5.729
Ca Be Cr N
4 2 2 8
Direct
0.250 0.000 0.247
0.250 0.500 0.247
0.750 0.000 0.753
0.750 0.500 0.753
0.250 0.250 0.812
0.750 0.750 0.188
0.250 0.750 0.812
0.750 0.250 0.188
0.004 0.250 0.002
0.250 0.509 0.660
0.250 0.991 0.660
0.496 0.250 0.002
0.504 0.750 0.998
0.750 0.009 0.340
0.750 0.491 0.340
0.996 0.750 0.998
```

Computed, not measured: a geometry-optimized CaBeNb2Cr structure at the GGA-PBE level of DFT.

Computed properties:
- energy of formation from the pure elements (eV/atom) = 2.321
- spin magnetization (μB/f.u.) = 3.08

POSCAR file:
```
CaBeNb2Cr
1.0
4.721 0.000 0.000
0.000 4.721 0.000
0.000 0.000 4.630
Ca Be Nb Cr
1 1 2 1
Direct
0.000 0.000 0.000
0.000 0.000 0.500
0.000 0.500 0.000
0.500 0.000 0.000
0.500 0.500 0.500
```

Computed, not measured: a geometry-optimized CaBe2CrNi structure at the GGA-PBE level of DFT.

Computed properties:
- energy of formation from the pure elements (eV/atom) = 1.341
- spin magnetization (μB/f.u.) = 3.88

POSCAR file:
```
CaBe2CrNi
1.0
4.315 0.000 0.000
0.000 4.315 0.000
0.000 0.000 5.082
Ca Be Cr Ni
1 2 1 1
Direct
0.000 0.000 0.000
0.000 0.500 0.500
0.500 0.000 0.500
0.000 0.000 0.500
0.500 0.500 0.000
```

Ρ for every record listed, in sequence, given in g/cm3: 3.077; 3.107; 2.205; 2.597; 2.913; 1.816; 2.685; 3.527; 2.480; 2.693; 3.273; 2.501; 5.823; 3.325; 4.617; 2.963.